Material: Cu2Ni2Pb
Method: DFT, PBE
State: relaxed

Computed properties:
Magnetization, μB per cell: 0.000
Crystal system: tetragonal
Energy above the most stable polymorph in this dataset, meV/atom: 0
ΔH_f (0 K), meV/atom: 230
Volume, A^3/atom: 14.473
Energy, eV per formula unit: -22.3

Lattice parameters (Å, degrees): 6.817 6.817 3.114 90.00 90.00 90.00
Sites, in units of the cell vectors:
1 Cu 0.155 0.345 0.000
2 Cu 0.345 0.845 0.000
3 Cu 0.655 0.155 0.000
4 Cu 0.845 0.655 0.000
5 Ni 0.131 0.631 0.500
6 Ni 0.369 0.131 0.500
7 Ni 0.631 0.869 0.500
8 Ni 0.869 0.369 0.500
9 Pb 0.000 0.000 0.500
10 Pb 0.500 0.500 0.500